Compound: BaZrBIr2
Source: Alexandria
Functional: PBE
Structure: optimized geometry

Results
E = -5.198 eV per atom
calculated density = 6.999 g/cm3
total magnetic moment = 0.00 μB/cell
D(E_F) = 4.97 states/eV/cell

Unit cell a=4.860 b=4.860 c=6.267 alpha=90.00 beta=90.00 gamma=90.00
Atoms (fractional coordinates):
Ba 0.000 0.000 0.000
Zr 0.000 0.000 0.500
B 0.500 0.500 0.000
Ir 0.000 0.500 0.500
Ir 0.500 0.000 0.500

Compound: K3BaB
Source: Alexandria
Functional: PBE
Structure: optimized geometry

Results
relative energy among the computed polymorphs = 0 meV/atom
E = -1.538 eV per atom
calculated density = 1.693 g/cm3
total magnetic moment = 0.17 μB/cell
D(E_F) = 5.48 states/eV/cell

Unit cell a=6.385 b=6.385 c=6.385 alpha=90.00 beta=90.00 gamma=90.00
Atoms (fractional coordinates):
K 0.000 0.000 0.500
K 0.000 0.500 0.000
K 0.500 0.000 0.000
Ba 0.500 0.500 0.500
B 0.000 0.000 0.000

Q: The highest E belongs to which entry?
A: K3BaB

Q: Among the records above, which one has the lowest calculated density?
A: K3BaB

Q: E of number 1 (BaZrBIr2)?
A: -5.198 eV per atom